Crystalline Hf2P2Br at its relaxed geometry, computed with GGA-PBE.

Calculated values
uncorrected formation energy: -960 meV/atom
space-group type: No. 127
ρ: 8897 kg/m³
volume: 18.6 Å³ per atom
calculated total energy: -7.440 eV per atom
density of states at the Fermi level: 2.666 states/eV/cell

Unit cell a=7.4023 b=7.4023 c=3.3983 alpha=90.00 beta=90.00 gamma=90.00
Closest atoms and distances in Å follow each position.
Fractional positions:
Br 0.0000 0.0000 0.0000  4 Hf 2.82
Br 0.5000 0.5000 0.0000  4 Hf 2.82
P 0.1357 0.6357 0.5000  6 Hf 2.71-2.83, 1 P 2.84
P 0.3643 0.1357 0.5000  6 Hf 2.71-2.83, 1 P 2.84
P 0.8643 0.3643 0.5000  6 Hf 2.71-2.83, 1 P 2.84
P 0.6357 0.8643 0.5000  6 Hf 2.71-2.83, 1 P 2.84
Hf 0.3516 0.8516 0.0000  6 P 2.71-2.83, 2 Br 2.82
Hf 0.6484 0.1484 0.0000  6 P 2.71-2.83, 2 Br 2.82
Hf 0.1484 0.3516 0.0000  6 P 2.71-2.83, 2 Br 2.82
Hf 0.8516 0.6484 0.0000  6 P 2.71-2.83, 2 Br 2.82